# RePtAu2 | the Alexandria database | GGA-PBE | optimized geometry
data_RePtAu2
_cell_length_a 9.320
_cell_length_b 2.788
_cell_length_c 5.134
_cell_angle_alpha 90.00
_cell_angle_beta 97.79
_cell_angle_gamma 90.00
_symmetry_space_group_name_H-M 'C 1 m 1'
_symmetry_Int_Tables_number 8
loop_
_symmetry_equiv_pos_as_xyz
'x,y,z'
'x,-y,z'
'x+1/2,y+1/2,z'
'x+1/2,-y+1/2,z'
loop_
_atom_site_label
_atom_site_fract_x
_atom_site_fract_y
_atom_site_fract_z
Re1 0.000 0.000 0.000
Pt1 0.241 0.500 0.192
Au1 0.253 0.000 0.719
Au2 0.497 0.000 0.481
# Total magnetization (μB/f.u.): 0.00
# D(E_F) (states/eV per cell): 6.3
# Energy relative to the lowest polymorph listed for this composition (meV per atom): 168
# Raw total energy (eV per atom): -5.97
# Energy of formation (eV/atom): 0.2877

# VSnMo | the Alexandria database | GGA-PBE | optimized geometry
data_VSnMo
_cell_length_a 4.4620
_cell_length_b 4.4620
_cell_length_c 2.9124
_cell_angle_alpha 90.00
_cell_angle_beta 90.00
_cell_angle_gamma 120.00
_symmetry_space_group_name_H-M 'P 3 m 1'
_symmetry_Int_Tables_number 156
loop_
_symmetry_equiv_pos_as_xyz
'x,y,z'
'-y,x-y,z'
'-x+y,-x,z'
'-y,-x,z'
'-x+y,y,z'
'x,x-y,z'
loop_
_atom_site_label
_atom_site_fract_x
_atom_site_fract_y
_atom_site_fract_z
V1 0.0000 0.0000 0.0000
Sn1 0.6667 0.3333 0.3525
Mo1 0.3333 0.6667 0.7707
# Total magnetization (μB/f.u.): 0.00
# D(E_F) (states/eV per cell): 2.3
# Energy relative to the lowest polymorph listed for this composition (meV per atom): 150
# Raw total energy (eV per atom): -7.83
# Energy of formation (eV/atom): 0.1573

# RbAcScF6 | the Alexandria database | GGA-PBE | optimized geometry
data_RbAcScF6
_cell_length_a 7.801
_cell_length_b 8.131
_cell_length_c 11.197
_cell_angle_alpha 90.00
_cell_angle_beta 90.00
_cell_angle_gamma 90.00
_symmetry_space_group_name_H-M 'I m m a'
_symmetry_Int_Tables_number 74
_symmetry_space_group_name_Hall '-I 2b 2'
loop_
_atom_site_label
_atom_site_fract_x
_atom_site_fract_y
_atom_site_fract_z
Rb1 0.000 0.250 0.142
Ac1 0.250 0.250 0.750
Sc1 0.000 0.000 0.500
F1 0.000 0.250 0.457
F2 0.000 0.250 0.889
F3 0.199 0.002 0.624
# Total magnetization (μB/f.u.): 0.00
# D(E_F) (states/eV per cell): 2.6
# Raw total energy (eV per atom): -6.10

# CsScSn | the Alexandria database | GGA-PBE | optimized geometry
data_CsScSn
_cell_length_a 4.161
_cell_length_b 15.164
_cell_length_c 7.345
_cell_angle_alpha 90.00
_cell_angle_beta 90.00
_cell_angle_gamma 90.00
_symmetry_space_group_name_H-M 'C m c m'
_symmetry_Int_Tables_number 63
_symmetry_space_group_name_Hall '-C 2c 2'
loop_
_atom_site_label
_atom_site_fract_x
_atom_site_fract_y
_atom_site_fract_z
Cs1 0.000 0.210 0.250
Sc1 0.000 0.500 0.000
Sn1 0.000 0.067 0.750
# Total magnetization (μB/f.u.): 0.03
# D(E_F) (states/eV per cell): 4.7
# Energy relative to the lowest polymorph listed for this composition (meV per atom): 0
# Raw total energy (eV per atom): -3.87
# Energy of formation (eV/atom): -0.1439

# Pr12Dy5Cu3 | the Alexandria database | GGA-PBE | optimized geometry
data_Pr12Dy5Cu3
_cell_length_a 18.081
_cell_length_b 18.081
_cell_length_c 18.081
_cell_angle_alpha 90.00
_cell_angle_beta 90.00
_cell_angle_gamma 90.00
_symmetry_space_group_name_H-M 'I a -3 d'
_symmetry_Int_Tables_number 230
_symmetry_space_group_name_Hall '-I 4bd 2c 3'
loop_
_atom_site_label
_atom_site_fract_x
_atom_site_fract_y
_atom_site_fract_z
Pr1 0.012 0.093 0.649
Dy1 0.000 0.000 0.000
Dy2 0.000 0.250 0.375
Cu1 0.000 0.250 0.125
# Total magnetization (μB/f.u.): 0.00
# D(E_F) (states/eV per cell): 276.5
# Raw total energy (eV per atom): -3.82
# Energy of formation (eV/atom): 0.8099

# PrPd3Au | the Alexandria database | GGA-PBE | optimized geometry
data_PrPd3Au
_cell_length_a 4.611
_cell_length_b 6.227
_cell_length_c 6.908
_cell_angle_alpha 90.00
_cell_angle_beta 90.00
_cell_angle_gamma 90.00
_symmetry_space_group_name_H-M 'P m m n'
_symmetry_Int_Tables_number 59
loop_
_symmetry_equiv_pos_as_xyz
'x,y,z'
'-x,-y,-z'
'-x+1/2,-y+1/2,z'
'x+1/2,y+1/2,-z'
'x+1/2,-y,-z'
'-x+1/2,y,z'
'-x,y+1/2,-z'
'x,-y+1/2,z'
loop_
_atom_site_label
_atom_site_fract_x
_atom_site_fract_y
_atom_site_fract_z
Pr1 0.250 0.250 0.219
Pd1 0.250 0.040 0.753
Pd2 0.250 0.750 0.065
Au1 0.250 0.750 0.449
# Total magnetization (μB/f.u.): 0.00
# D(E_F) (states/eV per cell): 2.9
# Energy relative to the lowest polymorph listed for this composition (meV per atom): 0
# Raw total energy (eV per atom): -5.24
# Energy of formation (eV/atom): -0.5143

# NdPS4 | the Alexandria database | GGA-PBE | optimized geometry
data_NdPS4
_cell_length_a 5.762
_cell_length_b 8.955
_cell_length_c 5.854
_cell_angle_alpha 90.00
_cell_angle_beta 100.66
_cell_angle_gamma 90.00
_symmetry_space_group_name_H-M 'P 1 21/m 1'
_symmetry_Int_Tables_number 11
loop_
_symmetry_equiv_pos_as_xyz
'x,y,z'
'-x,-y,-z'
'-x,y+1/2,-z'
'x,-y+1/2,z'
loop_
_atom_site_label
_atom_site_fract_x
_atom_site_fract_y
_atom_site_fract_z
Nd1 0.137 0.250 0.177
P1 0.376 0.750 0.324
S1 0.204 0.575 0.133
S2 0.271 0.250 0.681
S3 0.344 0.750 0.665
# Total magnetization (μB/f.u.): 0.00
# Raw total energy (eV per atom): -5.44

# Ho2Zn5PdRh2 | the Alexandria database | GGA-PBE | optimized geometry
data_Ho2Zn5PdRh2
_cell_length_a 9.441
_cell_length_b 9.441
_cell_length_c 3.913
_cell_angle_alpha 90.00
_cell_angle_beta 90.00
_cell_angle_gamma 90.00
_symmetry_space_group_name_H-M 'P 4/m b m'
_symmetry_Int_Tables_number 127
_symmetry_space_group_name_Hall '-P 4 2ab'
loop_
_atom_site_label
_atom_site_fract_x
_atom_site_fract_y
_atom_site_fract_z
Ho1 0.177 0.323 0.000
Zn1 0.000 0.500 0.500
Zn2 0.056 0.804 0.500
Pd1 0.000 0.000 0.000
Rh1 0.123 0.623 0.000
# Total magnetization (μB/f.u.): 0.00
# D(E_F) (states/eV per cell): 12.2
# Raw total energy (eV per atom): -4.05
# Energy of formation (eV/atom): -0.5033

# EuPdPb | the Alexandria database | GGA-PBE | optimized geometry
data_EuPdPb
_cell_length_a 3.694
_cell_length_b 3.694
_cell_length_c 11.137
_cell_angle_alpha 90.00
_cell_angle_beta 90.00
_cell_angle_gamma 90.00
_symmetry_space_group_name_H-M 'I 4 m m'
_symmetry_Int_Tables_number 107
_symmetry_space_group_name_Hall 'I 4 -2'
loop_
_atom_site_label
_atom_site_fract_x
_atom_site_fract_y
_atom_site_fract_z
Eu1 0.000 0.000 0.000
Pd1 0.000 0.000 0.324
Pb1 0.000 0.000 0.705
# Total magnetization (μB/f.u.): 7.21
# D(E_F) (states/eV per cell): 10.7
# Raw total energy (eV per atom): -6.87
# Energy of formation (eV/atom): -0.4756

# Mg4Si3 | the Alexandria database | GGA-PBE | optimized geometry
data_Mg4Si3
_cell_length_a 4.731
_cell_length_b 7.606
_cell_length_c 8.048
_cell_angle_alpha 89.04
_cell_angle_beta 88.03
_cell_angle_gamma 88.49
_symmetry_space_group_name_H-M 'P 1'
_symmetry_Int_Tables_number 1
loop_
_symmetry_equiv_pos_as_xyz
'x,y,z'
loop_
_atom_site_label
_atom_site_fract_x
_atom_site_fract_y
_atom_site_fract_z
Mg1 0.000 0.000 0.000
Mg2 0.014 0.369 0.151
Mg3 0.342 0.925 0.627
Mg4 0.377 0.572 0.838
Mg5 0.422 0.314 0.463
Mg6 0.437 0.640 0.223
Mg7 0.860 0.878 0.372
Mg8 0.882 0.340 0.742
Si1 0.354 0.999 0.292
Si2 0.376 0.206 0.821
Si3 0.534 0.219 0.105
Si4 0.838 0.734 0.679
Si5 0.882 0.664 0.978
Si6 0.911 0.520 0.451
# Total magnetization (μB/f.u.): 0.00
# D(E_F) (states/eV per cell): 1.1
# Energy relative to the lowest polymorph listed for this composition (meV per atom): 51
# Raw total energy (eV per atom): -3.22

Please write out number 4 again, unchanged.
# CsScSn | the Alexandria database | GGA-PBE | optimized geometry
data_CsScSn
_cell_length_a 4.161
_cell_length_b 15.164
_cell_length_c 7.345
_cell_angle_alpha 90.00
_cell_angle_beta 90.00
_cell_angle_gamma 90.00
_symmetry_space_group_name_H-M 'C m c m'
_symmetry_Int_Tables_number 63
_symmetry_space_group_name_Hall '-C 2c 2'
loop_
_atom_site_label
_atom_site_fract_x
_atom_site_fract_y
_atom_site_fract_z
Cs1 0.000 0.210 0.250
Sc1 0.000 0.500 0.000
Sn1 0.000 0.067 0.750
# Total magnetization (μB/f.u.): 0.03
# D(E_F) (states/eV per cell): 4.7
# Energy relative to the lowest polymorph listed for this composition (meV per atom): 0
# Raw total energy (eV per atom): -3.87
# Energy of formation (eV/atom): -0.1439

Q: The highest total magnetization belongs to which entry?
A: EuPdPb